The following is a DFT calculation (PBEsol) of crystalline RePdI2N at its relaxed geometry.

- uncorrected energy (eV/atom) = -4.644
- DOS at the Fermi energy (states/eV per cell) = 4.8
- SG = P4/mmm

abc: 3.618 5.562 5.562
angles: 90.00 90.00 90.00
Positions (direct):
I  0.000  0.000  0.500
I  0.000  0.500  0.000
Re  0.500  0.500  0.500
Pd  0.000  0.000  0.000
N  0.500  0.000  0.000



The following is a DFT calculation (PBEsol) of crystalline RePdIN2 at its relaxed geometry.

- uncorrected energy (eV/atom) = -7.055
- DOS at the Fermi energy (states/eV per cell) = 3.2
- SG = P4/mmm

abc: 3.814 3.814 5.797
angles: 90.00 90.00 90.00
Positions (direct):
I  0.000  0.000  0.500
Re  0.000  0.000  0.000
Pd  0.500  0.500  0.500
N  0.000  0.500  0.000
N  0.500  0.000  0.000